1.
{
  "formula": "Rb3Tb3GaSe8",
  "functional": "GGA-PBE",
  "state": "relaxed",
  "lattice": [[8.247, 0.000, 0.000], [-4.123, 7.146, -0.032], [0.000, -4.730, 8.271]],
  "species": ["Se", "Se", "Se", "Se", "Se", "Se", "Se", "Se", "Rb", "Rb", "Rb", "Tb", "Tb", "Tb", "Ga"],
  "frac_coords": [[0.253, 0.033, 0.314], [0.219, 0.967, 0.686], [0.733, 0.465, 0.697], [0.747, 0.967, 0.686], [0.782, 0.563, 0.315], [0.267, 0.535, 0.303], [0.781, 0.033, 0.314], [0.218, 0.437, 0.685], [0.000, 0.500, 0.000], [0.000, 0.000, 0.000], [0.500, 0.500, 0.000], [0.500, 0.000, 0.500], [0.500, 0.500, 0.500], [0.000, 0.500, 0.500], [0.000, 0.000, 0.500]],
  "dft_energy_ev_per_atom": -4.5571,
  "total_magnetization_mub_per_fu": 0.0,
  "raw_formation_energy_ev_per_atom": -1.377,
  "dos_ef_per_ev_fu": 12.5
}

=====

2.
{
  "formula": "RbGaTc2Se",
  "functional": "GGA-PBE",
  "state": "relaxed",
  "lattice": [[-2.741, 2.971, -3.302], [-4.945, -2.692, 1.682], [-0.662, 3.563, 3.756]],
  "species": ["Ga", "Rb", "Tc", "Tc", "Se"],
  "frac_coords": [[0.500, 0.500, 0.500], [0.000, 0.000, 0.000], [0.000, 0.000, 0.500], [0.500, 0.000, 0.000], [0.000, 0.500, 0.000]],
  "dft_energy_ev_per_atom": -3.1397,
  "total_magnetization_mub_per_fu": 7.3,
  "raw_formation_energy_ev_per_atom": 2.503,
  "dos_ef_per_ev_fu": 4.0
}

=====

3.
{
  "formula": "RbGa2TeSe6",
  "functional": "GGA-PBE",
  "state": "relaxed",
  "lattice": [[-2.541, 5.701, 3.701], [-8.321, -3.828, 1.250], [3.718, -2.829, 7.977]],
  "species": ["Se", "Se", "Se", "Se", "Se", "Se", "Se", "Se", "Se", "Se", "Se", "Se", "Ga", "Ga", "Ga", "Ga", "Rb", "Rb", "Te", "Te"],
  "frac_coords": [[0.950, 0.730, 0.607], [0.550, 0.393, 0.270], [0.608, 0.709, 0.018], [0.450, 0.607, 0.730], [0.590, 0.132, 0.617], [0.090, 0.617, 0.132], [0.050, 0.270, 0.393], [0.892, 0.982, 0.291], [0.108, 0.018, 0.709], [0.392, 0.291, 0.982], [0.910, 0.383, 0.868], [0.410, 0.868, 0.383], [0.212, 0.394, 0.215], [0.712, 0.215, 0.394], [0.788, 0.606, 0.785], [0.288, 0.785, 0.606], [0.750, 0.050, 0.950], [0.250, 0.950, 0.050], [0.750, 0.722, 0.278], [0.250, 0.278, 0.722]],
  "dft_energy_ev_per_atom": -3.4560,
  "total_magnetization_mub_per_fu": 0.0,
  "raw_formation_energy_ev_per_atom": -0.349,
  "dos_ef_per_ev_fu": 3.9
}

=====

4.
{
  "formula": "RbGaTeSe4",
  "functional": "GGA-PBE",
  "state": "relaxed",
  "lattice": [[-3.040, -5.356, 2.912], [0.031, -3.500, -6.405], [9.527, -1.109, 0.652]],
  "species": ["Te", "Te", "Rb", "Rb", "Se", "Se", "Se", "Se", "Se", "Se", "Se", "Se", "Ga", "Ga"],
  "frac_coords": [[0.780, 0.750, 0.475], [0.220, 0.250, 0.525], [0.736, 0.750, 0.942], [0.264, 0.250, 0.058], [0.992, 0.007, 0.294], [0.473, 0.750, 0.582], [0.468, 0.750, 0.196], [0.992, 0.493, 0.294], [0.008, 0.507, 0.706], [0.008, 0.993, 0.706], [0.532, 0.250, 0.804], [0.527, 0.250, 0.418], [0.232, 0.750, 0.334], [0.768, 0.250, 0.666]],
  "dft_energy_ev_per_atom": -3.4716,
  "total_magnetization_mub_per_fu": 0.0,
  "raw_formation_energy_ev_per_atom": -0.461
}

=====

5.
{
  "formula": "Rb2TiGaSe5",
  "functional": "GGA-PBE",
  "state": "relaxed",
  "lattice": [[3.809, 0.000, 0.000], [-1.904, 10.243, 0.000], [0.000, 0.000, 14.605]],
  "species": ["Se", "Se", "Se", "Se", "Se", "Se", "Se", "Se", "Se", "Se", "Rb", "Rb", "Rb", "Rb", "Ti", "Ti", "Ga", "Ga"],
  "frac_coords": [[0.693, 0.386, 0.890], [0.072, 0.144, 0.039], [0.299, 0.598, 0.631], [0.328, 0.656, 0.006], [0.928, 0.856, 0.539], [0.307, 0.614, 0.390], [0.509, 0.017, 0.801], [0.701, 0.402, 0.131], [0.672, 0.344, 0.506], [0.491, 0.983, 0.301], [0.130, 0.261, 0.693], [0.134, 0.268, 0.313], [0.866, 0.732, 0.813], [0.870, 0.739, 0.193], [0.786, 0.572, 0.516], [0.214, 0.428, 0.016], [0.575, 0.150, 0.933], [0.425, 0.850, 0.433]],
  "dft_energy_ev_per_atom": -4.2947,
  "total_magnetization_mub_per_fu": 0.0,
  "raw_formation_energy_ev_per_atom": -0.930,
  "dos_ef_per_ev_fu": 5.2
}

=====

6.
{
  "formula": "Rb2TlGaSe4",
  "functional": "GGA-PBE",
  "state": "relaxed",
  "lattice": [[6.596, 0.000, 0.000], [3.298, 7.313, 0.000], [3.298, 0.000, 12.075]],
  "species": ["Se", "Se", "Se", "Se", "Se", "Se", "Se", "Se", "Tl", "Tl", "Rb", "Rb", "Rb", "Rb", "Ga", "Ga"],
  "frac_coords": [[0.517, 0.304, 0.613], [0.179, 0.304, 0.387], [0.870, 0.696, 0.613], [0.233, 0.196, 0.887], [0.571, 0.196, 0.113], [0.316, 0.804, 0.113], [0.880, 0.804, 0.887], [0.434, 0.696, 0.387], [0.750, 0.500, 0.500], [0.000, 0.000, 0.000], [0.183, 0.000, 0.633], [0.817, 0.000, 0.367], [0.933, 0.500, 0.133], [0.567, 0.500, 0.867], [0.250, 0.500, 0.500], [0.500, 0.000, 0.000]],
  "dft_energy_ev_per_atom": -3.4165,
  "total_magnetization_mub_per_fu": 0.0,
  "raw_formation_energy_ev_per_atom": -0.758
}

=====

7.
{
  "formula": "Rb3Tm3GaSe8",
  "functional": "GGA-PBE",
  "state": "relaxed",
  "lattice": [[8.110, -0.001, 0.000], [-4.056, 7.030, -0.031], [0.000, -4.653, 8.276]],
  "species": ["Se", "Se", "Se", "Se", "Se", "Se", "Se", "Se", "Rb", "Rb", "Rb", "Tm", "Tm", "Tm", "Ga"],
  "frac_coords": [[0.732, 0.463, 0.695], [0.268, 0.537, 0.305], [0.742, 0.964, 0.685], [0.258, 0.036, 0.315], [0.779, 0.558, 0.315], [0.221, 0.964, 0.685], [0.779, 0.036, 0.315], [0.221, 0.442, 0.685], [0.000, 0.000, 0.000], [0.000, 0.500, 0.000], [0.500, 0.500, 0.000], [0.000, 0.500, 0.500], [0.500, 0.500, 0.500], [0.500, 0.000, 0.500], [0.000, 0.000, 0.500]],
  "dft_energy_ev_per_atom": -4.5253,
  "total_magnetization_mub_per_fu": 0.0,
  "raw_formation_energy_ev_per_atom": -1.377,
  "dos_ef_per_ev_fu": 10.2
}

=====

8.
{
  "formula": "Rb2TmGaSe4",
  "functional": "GGA-PBE",
  "state": "relaxed",
  "lattice": [[-3.637, 0.427, 7.880], [-3.872, -7.624, -1.547], [8.639, 0.734, -0.842]],
  "species": ["Rb", "Rb", "Rb", "Rb", "Se", "Se", "Se", "Se", "Se", "Se", "Se", "Se", "Ga", "Ga", "Tm", "Tm"],
  "frac_coords": [[0.500, 0.000, 0.000], [0.500, 0.000, 0.500], [0.500, 0.500, 0.000], [0.000, 0.000, 0.500], [0.197, 0.737, 0.966], [0.763, 0.303, 0.534], [0.237, 0.697, 0.466], [0.803, 0.263, 0.034], [0.237, 0.269, 0.454], [0.769, 0.737, 0.954], [0.231, 0.263, 0.046], [0.763, 0.731, 0.546], [0.000, 0.000, 0.000], [0.500, 0.500, 0.500], [0.000, 0.500, 0.000], [0.000, 0.500, 0.500]],
  "dft_energy_ev_per_atom": -4.0146,
  "total_magnetization_mub_per_fu": 0.0,
  "raw_formation_energy_ev_per_atom": -1.093,
  "dos_ef_per_ev_fu": 1.3
}

=====

9.
{
  "formula": "Rb3U3GaSe8",
  "functional": "GGA-PBE",
  "state": "relaxed",
  "lattice": [[-6.867, -5.078, 0.337], [7.822, -3.415, -0.487], [-2.474, 3.884, 8.144]],
  "species": ["Se", "Se", "Se", "Se", "Se", "Se", "Se", "Se", "Rb", "Rb", "Rb", "U", "U", "U", "Ga"],
  "frac_coords": [[0.762, 0.051, 0.313], [0.289, 0.051, 0.313], [0.268, 0.535, 0.303], [0.238, 0.476, 0.687], [0.762, 0.524, 0.313], [0.711, 0.949, 0.687], [0.732, 0.465, 0.697], [0.238, 0.949, 0.687], [0.000, 0.500, 0.000], [0.500, 0.500, 0.000], [0.000, 0.000, 0.000], [0.500, 0.000, 0.500], [0.500, 0.500, 0.500], [0.000, 0.500, 0.500], [0.000, 0.000, 0.500]],
  "dft_energy_ev_per_atom": -5.6360,
  "total_magnetization_mub_per_fu": 6.0,
  "raw_formation_energy_ev_per_atom": -1.125,
  "dos_ef_per_ev_fu": 14.3
}

=====

10.
{
  "formula": "Rb2UGaSe5",
  "functional": "GGA-PBE",
  "state": "relaxed",
  "lattice": [[-3.680, -1.899, 0.599], [2.491, -3.200, -9.452], [6.937, -11.625, 5.763]],
  "species": ["Se", "Se", "Se", "Se", "Se", "Se", "Se", "Se", "Se", "Se", "Ga", "Ga", "Rb", "Rb", "Rb", "Rb", "U", "U"],
  "frac_coords": [[0.671, 0.342, 0.508], [0.508, 0.016, 0.789], [0.059, 0.117, 0.025], [0.302, 0.604, 0.648], [0.698, 0.396, 0.148], [0.492, 0.984, 0.289], [0.308, 0.616, 0.393], [0.329, 0.658, 0.008], [0.941, 0.883, 0.525], [0.692, 0.384, 0.893], [0.432, 0.864, 0.422], [0.568, 0.136, 0.922], [0.123, 0.246, 0.328], [0.877, 0.754, 0.828], [0.121, 0.241, 0.685], [0.879, 0.759, 0.185], [0.799, 0.598, 0.525], [0.201, 0.402, 0.025]],
  "dft_energy_ev_per_atom": -4.7737,
  "total_magnetization_mub_per_fu": 1.0,
  "raw_formation_energy_ev_per_atom": -1.032,
  "dos_ef_per_ev_fu": 6.1
}

=====

11.
{
  "formula": "Rb3Y3GaSe8",
  "functional": "GGA-PBE",
  "state": "relaxed",
  "lattice": [[8.218, 0.000, 0.000], [-4.109, 7.121, -0.032], [0.000, -4.713, 8.273]],
  "species": ["Rb", "Rb", "Rb", "Y", "Y", "Y", "Se", "Se", "Se", "Se", "Se", "Se", "Se", "Se", "Ga"],
  "frac_coords": [[0.000, 0.500, 0.000], [0.500, 0.500, 0.000], [0.000, 0.000, 0.000], [0.500, 0.500, 0.500], [0.000, 0.500, 0.500], [0.500, 0.000, 0.500], [0.781, 0.563, 0.315], [0.268, 0.535, 0.303], [0.747, 0.966, 0.686], [0.219, 0.437, 0.685], [0.253, 0.034, 0.314], [0.780, 0.034, 0.314], [0.220, 0.966, 0.686], [0.732, 0.465, 0.697], [0.000, 0.000, 0.500]],
  "dft_energy_ev_per_atom": -4.9322,
  "total_magnetization_mub_per_fu": 0.0,
  "raw_formation_energy_ev_per_atom": -1.386,
  "dos_ef_per_ev_fu": 11.9
}

=====

12.
{
  "formula": "Rb2ZrGaSe5",
  "functional": "GGA-PBE",
  "state": "relaxed",
  "lattice": [[3.841, 0.000, 0.000], [-1.920, 10.414, 0.001], [0.000, 0.001, 14.896]],
  "species": ["Se", "Se", "Se", "Se", "Se", "Se", "Se", "Se", "Se", "Se", "Rb", "Rb", "Rb", "Rb", "Ga", "Ga", "Zr", "Zr"],
  "frac_coords": [[0.331, 0.662, 0.004], [0.690, 0.380, 0.890], [0.301, 0.602, 0.646], [0.511, 0.022, 0.794], [0.699, 0.398, 0.146], [0.065, 0.130, 0.030], [0.489, 0.978, 0.294], [0.310, 0.620, 0.390], [0.669, 0.338, 0.504], [0.935, 0.870, 0.530], [0.130, 0.259, 0.318], [0.870, 0.741, 0.818], [0.867, 0.734, 0.191], [0.133, 0.266, 0.691], [0.572, 0.145, 0.928], [0.428, 0.855, 0.428], [0.209, 0.417, 0.023], [0.791, 0.583, 0.523]],
  "dft_energy_ev_per_atom": -4.4557,
  "total_magnetization_mub_per_fu": 0.2,
  "raw_formation_energy_ev_per_atom": -1.019,
  "dos_ef_per_ev_fu": 5.1
}

=====

13.
{
  "formula": "Rb2ZrGaSe4",
  "functional": "GGA-PBE",
  "state": "relaxed",
  "lattice": [[-1.300, 4.732, -4.608], [0.407, -2.442, -7.540], [-12.692, -0.631, -1.983]],
  "species": ["Ga", "Ga", "Rb", "Rb", "Rb", "Rb", "Se", "Se", "Se", "Se", "Se", "Se", "Se", "Se", "Zr", "Zr"],
  "frac_coords": [[0.250, 0.500, 0.500], [0.500, 0.000, 0.000], [0.181, 0.000, 0.639], [0.569, 0.500, 0.861], [0.931, 0.500, 0.139], [0.819, 0.000, 0.361], [0.206, 0.194, 0.893], [0.901, 0.806, 0.893], [0.849, 0.694, 0.607], [0.293, 0.806, 0.107], [0.544, 0.306, 0.607], [0.600, 0.194, 0.107], [0.457, 0.694, 0.393], [0.150, 0.306, 0.393], [0.750, 0.500, 0.500], [0.000, 0.000, 0.000]],
  "dft_energy_ev_per_atom": -4.4783,
  "total_magnetization_mub_per_fu": 0.0,
  "raw_formation_energy_ev_per_atom": -1.047,
  "dos_ef_per_ev_fu": 2.8
}

=====

14.
{
  "formula": "RbGaSi",
  "functional": "GGA-PBE",
  "state": "relaxed",
  "lattice": [[4.252, 0.002, 0.002], [1.970, 5.655, 0.001], [1.875, -1.168, 7.112]],
  "species": ["Rb", "Rb", "Ga", "Ga", "Si", "Si"],
  "frac_coords": [[0.463, 0.384, 0.188], [0.002, 0.958, 0.484], [0.813, 0.790, 0.999], [0.189, 0.373, 0.785], [0.288, 0.960, 0.876], [0.636, 0.567, 0.689]],
  "dft_energy_ev_per_atom": -3.1580,
  "total_magnetization_mub_per_fu": 0.0,
  "raw_formation_energy_ev_per_atom": -0.019,
  "dos_ef_per_ev_fu": 0.7
}

=====

15.
{
  "formula": "RbGaSi",
  "functional": "GGA-PBE",
  "state": "relaxed",
  "lattice": [[4.100, 0.000, 4.105], [4.100, 5.643, 0.000], [0.000, 5.643, 4.105]],
  "species": ["Rb", "Rb", "Ga", "Ga", "Si", "Si"],
  "frac_coords": [[0.892, 0.108, 0.505], [0.505, 0.495, 0.892], [0.196, 0.498, 0.502], [0.502, 0.804, 0.196], [0.909, 0.804, 0.196], [0.196, 0.091, 0.909]],
  "dft_energy_ev_per_atom": -3.1747,
  "total_magnetization_mub_per_fu": 0.0,
  "raw_formation_energy_ev_per_atom": -0.036,
  "dos_ef_per_ev_fu": 0.7
}

=====

16.
{
  "formula": "RbGaSi",
  "functional": "GGA-PBE",
  "state": "relaxed",
  "lattice": [[10.479, 0.000, 0.012], [3.779, 5.967, -1.540], [-3.779, 5.967, 1.540]],
  "species": ["Si", "Si", "Rb", "Rb", "Ga", "Ga"],
  "frac_coords": [[0.279, 0.602, 0.888], [0.721, 0.888, 0.602], [0.000, 0.491, 0.491], [0.500, 0.627, 0.627], [0.242, 0.474, 0.254], [0.758, 0.254, 0.474]],
  "dft_energy_ev_per_atom": -3.1493,
  "total_magnetization_mub_per_fu": 0.0,
  "raw_formation_energy_ev_per_atom": -0.010,
  "dos_ef_per_ev_fu": 0.0
}

=====

17.
{
  "formula": "RbGaSi",
  "functional": "GGA-PBE",
  "state": "relaxed",
  "lattice": [[8.493, -0.003, 0.003], [-0.143, 7.467, 0.005], [0.425, 0.711, 4.245]],
  "species": ["Rb", "Rb", "Ga", "Ga", "Si", "Si"],
  "frac_coords": [[0.500, 0.500, 0.000], [0.000, 0.000, 0.500], [0.842, 0.545, 0.413], [0.158, 0.455, 0.587], [0.913, 0.374, 0.942], [0.087, 0.626, 0.058]],
  "dft_energy_ev_per_atom": -3.0711,
  "total_magnetization_mub_per_fu": 0.0,
  "raw_formation_energy_ev_per_atom": 0.068,
  "dos_ef_per_ev_fu": 0.0
}

=====

18.
{
  "formula": "Rb2GaSi",
  "functional": "GGA-PBE",
  "state": "relaxed",
  "lattice": [[4.286, 0.003, 0.001], [2.142, 6.302, 0.301], [2.144, 2.502, 5.791]],
  "species": ["Rb", "Rb", "Ga", "Si"],
  "frac_coords": [[0.071, 0.832, 0.025], [0.429, 0.475, 0.668], [0.750, 0.013, 0.487], [0.250, 0.180, 0.320]],
  "de_polymorph_mev_per_atom": 0,
  "dft_energy_ev_per_atom": -2.5172,
  "total_magnetization_mub_per_fu": 0.0,
  "raw_formation_energy_ev_per_atom": 0.079,
  "dos_ef_per_ev_fu": 1.3
}

=====

19.
{
  "formula": "RbGaSi",
  "functional": "GGA-PBE",
  "state": "relaxed",
  "lattice": [[4.183, 0.000, 0.000], [0.000, 6.174, -3.681], [0.000, 6.174, 3.681]],
  "species": ["Rb", "Rb", "Ga", "Ga", "Si", "Si"],
  "frac_coords": [[0.500, 0.353, 0.647], [0.500, 0.853, 0.147], [0.763, 0.752, 0.748], [0.237, 0.252, 0.248], [0.254, 0.917, 0.583], [0.746, 0.417, 0.083]],
  "dft_energy_ev_per_atom": -3.1213,
  "total_magnetization_mub_per_fu": 0.0,
  "raw_formation_energy_ev_per_atom": 0.018,
  "dos_ef_per_ev_fu": 0.0
}

=====

20.
{
  "formula": "RbGaSi",
  "functional": "GGA-PBE",
  "state": "relaxed",
  "lattice": [[-6.951, -2.979, -1.761], [6.402, -0.301, -4.384], [1.136, -3.783, 1.918]],
  "species": ["Rb", "Rb", "Si", "Si", "Ga", "Ga"],
  "frac_coords": [[0.350, 0.650, 0.750], [0.650, 0.350, 0.250], [0.959, 0.041, 0.250], [0.041, 0.959, 0.750], [0.146, 0.854, 0.250], [0.854, 0.146, 0.750]],
  "dft_energy_ev_per_atom": -2.9788,
  "total_magnetization_mub_per_fu": 0.0,
  "raw_formation_energy_ev_per_atom": 0.160,
  "dos_ef_per_ev_fu": 1.3
}